{"formula": "LiGaNiF6", "functional": "PBE with a Hubbard U", "state": "relaxed", "lattice_angstrom": [[4.666, 0.000, 0.000], [0.000, 4.666, 0.000], [0.000, 0.000, 9.136]], "species": ["F", "F", "F", "F", "Ga", "Li", "F", "F", "F", "Li", "F", "Ni", "F", "F", "Ni", "F", "F", "Ga"], "fractional_positions": [[0.792, 0.208, 0.832], [0.306, 0.306, 0.675], [0.708, 0.708, 0.332], [0.292, 0.292, 0.332], [0.500, 0.500, 0.833], [0.000, 0.000, 0.998], [0.308, 0.308, 0.993], [0.694, 0.694, 0.675], [0.806, 0.194, 0.175], [0.500, 0.500, 0.498], [0.208, 0.792, 0.832], [0.000, 0.000, 0.668], [0.192, 0.808, 0.493], [0.692, 0.692, 0.993], [0.500, 0.500, 0.168], [0.808, 0.192, 0.493], [0.194, 0.806, 0.175], [0.000, 0.000, 0.333]], "magnetic_moment_mub_per_fu": 1.9, "dft_energy_ev_per_atom": -4.6563, "sg": "P4_2nm (102)"}

=====

{"formula": "Li2GaNiF8", "functional": "PBE with a Hubbard U", "state": "relaxed", "lattice_angstrom": [[4.662, -0.157, -0.002], [-0.156, 4.659, -0.005], [0.003, 0.007, 6.051]], "species": ["F", "Li", "Li", "Ni", "F", "F", "F", "F", "F", "F", "F", "Ga"], "fractional_positions": [[0.814, 0.187, 0.749], [0.500, 0.500, 0.753], [0.500, 0.500, 0.247], [0.000, 0.000, 0.500], [0.291, 0.290, 0.500], [0.709, 0.710, 0.500], [0.708, 0.709, 0.000], [0.814, 0.187, 0.251], [0.186, 0.813, 0.251], [0.186, 0.813, 0.749], [0.292, 0.291, 0.000], [0.000, 0.000, 0.000]], "magnetic_moment_mub_per_fu": 3.0, "dft_energy_ev_per_atom": -4.4759, "sg": "Cmmm (65)"}